PrThAu2 | PBE-GGA | relaxed

Calculated formation energy ... -0.55 eV/atom
Magnetic moment ... 0.00 μB per atom

a b c (Å): 4.0804 4.0804 24.0247
angles (deg): 90.00 90.00 120.00
Space group R-3m (No. 166, hexagonal axes)
Asymmetric unit:
Pr (0.0000, 0.0000, 0.0000) [3 per cell]
Th (0.0000, 0.0000, 0.5000) [3 per cell]
Au (0.0000, 0.0000, 0.2468) [6 per cell]